# 1
This record from the Alexandria database describes ScPaRh after structural relaxation. The functional is PBE-GGA.

Summary:
- Symmetry: I4mm, No. 107
- DOS(E_F): 1.351 states/eV/atom
- DFT formation energy: -461 meV/atom
- Raw total energy: -8.19 eV per atom
- Distance to the lowest polymorph of the same formula: 0 meV per atom

Cell and atoms, written as POSCAR:
```
ScPaRh
1.0
3.504 0.000 0.000
0.000 3.504 0.000
-1.752 -1.752 5.129
Sc Pa Rh
1 1 1
Cartesian
0.000 0.000 3.355
0.000 0.000 0.232
1.752 1.752 1.543
```

# 2
This record from the Alexandria database describes EuDy2Ge after structural relaxation. The functional is PBE-GGA.

Summary:
- Symmetry: R-3m, No. 166
- DOS(E_F): 1.007 states/eV/atom
- DFT formation energy: -257 meV/atom
- Raw total energy: -6.28 eV per atom

Cell and atoms, written as POSCAR:
```
EuDy2Ge
1.0
4.056 0.000 0.000
2.028 3.513 0.000
2.028 1.171 9.628
Eu Ge Dy
1 1 2
Cartesian
4.056 2.342 4.814
0.000 0.000 0.000
2.028 1.171 1.604
6.085 3.513 8.024
```

# 3
This record from the Alexandria database describes Na2Sn2Bi after structural relaxation. The functional is PBE-GGA.

Summary:
- Symmetry: I4/mmm, No. 139
- DOS(E_F): 0.593 states/eV/atom
- DFT formation energy: 3 meV/atom
- Raw total energy: -2.90 eV per atom
- Distance to the lowest polymorph of the same formula: 200 meV per atom

Cell and atoms, written as POSCAR:
```
Na2Sn2Bi
1.0
-3.017 -1.777 -2.935
2.879 -3.437 -0.880
-2.991 -6.413 3.402
Na Bi Sn
2 1 2
Cartesian
-3.039 -5.398 -0.720
-0.091 -6.228 0.308
0.000 0.000 0.000
-0.633 -3.342 -0.882
-2.496 -8.285 0.470
```

# 4
This record from the Alexandria database describes InSe after structural relaxation. The functional is PBE-GGA.

Summary:
- E_form (uncorrected): -0.49 eV/atom
- Symmetry: C2/m, No. 12
- Raw total energy: -3.60 eV per atom

Cell and atoms, written as POSCAR:
```
InSe
1.0
0.162 3.542 2.115
4.891 0.012 3.629
5.065 3.263 -1.832
In Se
2 2
Cartesian
3.717 3.677 1.614
6.400 3.140 2.298
1.983 1.724 0.987
8.135 5.093 2.925
```

# 5
This record from the Alexandria database describes Tb2Nd7Th2 after structural relaxation. The functional is PBE-GGA.

Summary:
- Symmetry: C2/m, No. 12
- DOS(E_F): 1.402 states/eV/atom
- DFT formation energy: 180 meV/atom
- Raw total energy: -5.04 eV per atom
- Distance to the lowest polymorph of the same formula: 6 meV per atom

Cell and atoms, written as POSCAR:
```
Tb2Nd7Th2
1.0
8.677 -1.514 0.021
-1.751 5.631 1.557
-0.994 1.514 8.620
Tb Nd Th
2 7 2
Cartesian
-0.314 5.605 8.015
6.246 0.026 2.182
3.173 0.516 0.669
-1.457 5.114 4.786
2.759 5.114 9.528
7.389 0.516 5.412
3.914 1.718 4.256
0.000 0.000 0.000
2.018 3.913 5.942
5.161 2.815 7.568
0.771 2.815 2.630
```

# 6
This record from the Alexandria database describes BaCr2Se after structural relaxation. The functional is PBE-GGA.

Summary:
- E_form (uncorrected): 0.18 eV/atom
- Symmetry: C2/m, No. 12
- DOS(E_F): 1.021 states/eV/atom
- Raw total energy: -5.99 eV per atom

Cell and atoms, written as POSCAR:
```
BaCr2Se
1.0
4.199 0.006 0.009
2.098 3.637 0.009
2.050 1.186 6.009
Ba Cr Se
1 2 1
Cartesian
2.087 1.207 1.507
2.061 1.192 4.699
4.163 2.408 4.323
6.260 3.622 4.520
```

# 7
This record from the Alexandria database describes Mg5Re after structural relaxation. The functional is PBE-GGA.

Summary:
- Symmetry: Cm, No. 8
- DOS(E_F): 0.580 states/eV/atom
- DFT formation energy: 210 meV/atom
- Raw total energy: -3.19 eV per atom
- Distance to the lowest polymorph of the same formula: 0 meV per atom

Cell and atoms, written as POSCAR:
```
Mg5Re
1.0
1.459 5.609 0.006
-1.459 5.609 0.006
0.000 1.819 7.101
Mg Re
5 1
Cartesian
0.000 7.208 1.876
0.000 4.403 2.245
0.000 11.738 4.468
0.000 8.659 4.858
0.000 4.911 6.780
0.000 1.837 7.029
```

# 8
This record from the Alexandria database describes SrLa2FeIr after structural relaxation. The functional is PBE-GGA.

Summary:
- Symmetry: P4/mmm, No. 123
- DOS(E_F): 1.011 states/eV/atom
- DFT formation energy: 147 meV/atom
- Raw total energy: -5.63 eV per atom

Cell and atoms, written as POSCAR:
```
SrLa2FeIr
1.0
-3.859 1.071 -3.616
-1.716 -4.403 0.527
-3.230 1.733 3.960
Sr Ir Fe La
1 1 1 2
Cartesian
-4.402 -0.800 0.436
-0.858 -2.202 0.264
0.000 0.000 0.000
-1.615 0.866 1.980
-1.930 0.535 -1.808
```

# 9
This record from the Alexandria database describes In2ReSi after structural relaxation. The functional is PBE-GGA.

Summary:
- E_form (uncorrected): 0.65 eV/atom
- Symmetry: Cmmm, No. 65
- DOS(E_F): 0.503 states/eV/atom
- Raw total energy: -5.18 eV per atom

Cell and atoms, written as POSCAR:
```
In2ReSi
1.0
5.229 0.008 0.000
-1.575 4.986 0.000
0.000 0.000 2.833
In Re Si
2 1 1
Cartesian
0.000 0.000 0.000
1.827 2.497 0.000
2.614 0.004 1.416
-0.787 2.493 1.416
```

# 10
This record from the Alexandria database describes Cr2BSe after structural relaxation. The functional is PBE-GGA.

Summary:
- E_form (uncorrected): 0.39 eV/atom
- Symmetry: I-42d, No. 122
- DOS(E_F): 0.400 states/eV/atom
- Raw total energy: -6.97 eV per atom
- Distance to the lowest polymorph of the same formula: 0 meV per atom

Cell and atoms, written as POSCAR:
```
Cr2BSe
1.0
5.134 0.000 0.000
0.000 5.134 0.000
2.567 2.567 5.049
Cr B Se
4 2 2
Cartesian
3.496 1.284 1.262
1.638 3.851 1.262
3.851 4.205 3.787
6.418 6.064 3.787
2.567 2.567 0.000
2.567 5.134 2.524
0.000 0.000 0.000
5.134 2.567 2.524
```

# 11
This record from the Alexandria database describes Cs4Ac3TiO8 after structural relaxation. The functional is PBE-GGA.

Summary:
- E_form (uncorrected): -2.32 eV/atom
- Symmetry: R-3m, No. 166
- DOS(E_F): 0.194 states/eV/atom
- Raw total energy: -6.27 eV per atom

Cell and atoms, written as POSCAR:
```
Cs4Ac3TiO8
1.0
-0.760 -1.223 -7.317
2.321 -7.776 1.059
-5.820 2.385 4.006
Cs Ac Ti O
4 3 1 8
Cartesian
-0.380 -0.611 -3.659
-3.290 0.581 -1.656
0.000 0.000 0.000
-2.910 1.193 2.003
0.780 -4.500 -3.129
-2.130 -3.307 -1.126
-1.750 -2.696 2.532
1.160 -3.888 0.529
-4.238 -3.049 3.154
-0.863 -4.433 0.830
-2.656 -1.555 0.536
-4.678 -3.758 -1.090
0.419 -2.856 -1.163
-1.603 -5.059 -2.788
-3.396 -2.181 -3.083
-0.022 -3.565 -5.406
```

# 12
This record from the Alexandria database describes NaZn3Sb3 after structural relaxation. The functional is PBE-GGA.

Summary:
- E_form (uncorrected): 0.01 eV/atom
- Symmetry: Pm-3n, No. 223
- DOS(E_F): 0.612 states/eV/atom
- Raw total energy: -2.49 eV per atom
- Distance to the lowest polymorph of the same formula: 101 meV per atom

Cell and atoms, written as POSCAR:
```
NaZn3Sb3
1.0
-6.250 -0.227 4.219
2.647 -6.083 3.593
3.294 4.457 5.119
Sb Zn Na
6 6 2
Cartesian
2.309 0.708 3.458
3.632 -2.333 5.254
-0.655 3.229 5.949
-3.364 -3.212 4.961
-2.302 1.001 3.389
-0.239 -3.098 2.851
0.084 2.172 3.614
2.147 -1.927 3.076
-1.140 -4.676 4.805
-3.041 2.058 5.724
3.794 0.302 5.636
-2.463 -1.634 3.008
-0.155 -0.926 6.466
0.000 0.000 0.000
```

# 13
This record from the Alexandria database describes Sc4BeRu3 after structural relaxation. The functional is PBE-GGA.

Summary:
- Symmetry: P4/mmm, No. 123
- DOS(E_F): 0.848 states/eV/atom
- DFT formation energy: -452 meV/atom
- Raw total energy: -7.56 eV per atom

Cell and atoms, written as POSCAR:
```
Sc4BeRu3
1.0
-0.901 2.945 1.025
-2.981 -1.127 0.617
3.546 -2.981 11.687
Sc Be Ru
4 1 3
Cartesian
3.097 -2.604 10.208
0.449 -0.377 1.478
1.330 -1.118 4.384
2.216 -1.863 7.302
-1.941 0.909 0.821
-1.086 0.191 3.637
-0.168 -0.582 6.664
0.750 -1.354 9.691
```

# 14
This record from the Alexandria database describes PmGaF after structural relaxation. The functional is PBE-GGA.

Summary:
- E_form (uncorrected): -1.80 eV/atom
- Symmetry: P4/nmm, No. 129
- DOS(E_F): 0.537 states/eV/atom
- Raw total energy: -5.02 eV per atom

Cell and atoms, written as POSCAR:
```
PmGaF
1.0
3.402 0.000 0.000
0.000 3.402 0.000
0.000 0.000 9.335
Ga Pm F
2 2 2
Cartesian
0.000 1.701 5.387
1.701 0.000 3.948
0.000 1.701 1.830
1.701 0.000 7.505
1.701 0.000 0.648
0.000 1.701 8.687
```

# 15
This record from the Alexandria database describes VZnNi4 after structural relaxation. The functional is PBE-GGA.

Summary:
- Symmetry: P4/mmm, No. 123
- DOS(E_F): 0.797 states/eV/atom
- DFT formation energy: -118 meV/atom
- Raw total energy: -5.70 eV per atom

Cell and atoms, written as POSCAR:
```
VZnNi4
1.0
2.976 -0.378 0.011
0.378 2.976 0.011
-0.032 -0.025 7.842
V Zn Ni
1 1 4
Cartesian
0.000 0.000 0.000
1.661 1.287 3.932
1.650 1.278 6.617
1.672 1.295 1.246
0.357 2.959 5.292
2.965 -0.386 2.572
```

# 16
This record from the Alexandria database describes As3Br after structural relaxation. The functional is PBE-GGA.

Summary:
- E_form (uncorrected): 0.39 eV/atom
- Symmetry: Cmmm, No. 65
- DOS(E_F): 0.628 states/eV/atom
- Raw total energy: -3.51 eV per atom
- Distance to the lowest polymorph of the same formula: 304 meV per atom

Cell and atoms, written as POSCAR:
```
As3Br
1.0
4.059 -0.021 0.000
-2.331 3.323 0.000
0.000 0.000 7.793
As Br
3 1
Cartesian
0.000 0.000 7.536
0.864 1.651 5.844
0.000 0.000 4.153
0.864 1.651 1.948
```

# 17
This record from the Alexandria database describes Ac6Ag3Pt after structural relaxation. The functional is PBE-GGA.

Summary:
- Symmetry: P2_1/m, No. 11
- DOS(E_F): 1.039 states/eV/atom
- DFT formation energy: -327 meV/atom
- Raw total energy: -4.25 eV per atom

Cell and atoms, written as POSCAR:
```
Ac6Ag3Pt
1.0
-2.053 -3.452 1.317
10.606 -5.631 1.777
-4.462 7.229 11.985
Ac Ag Pt
12 6 2
Cartesian
0.786 -0.770 9.378
3.305 -1.084 5.701
6.993 -6.589 3.809
-2.903 4.734 11.271
2.418 -4.151 3.066
1.672 2.296 12.014
5.021 -4.507 6.190
-0.930 2.652 8.890
-2.446 -0.063 6.195
6.537 -1.792 8.885
3.758 -1.570 11.916
0.332 -0.284 3.164
-1.576 1.622 11.966
5.666 -3.477 3.114
3.349 -2.583 8.624
0.741 0.729 6.456
-0.742 -2.843 1.566
4.833 0.988 13.514
-4.079 2.278 9.784
8.169 -4.133 5.296
```

# 18
This record from the Alexandria database describes Cu4Ir5 after structural relaxation. The functional is PBE-GGA.

Summary:
- Symmetry: P6_3/mcm, No. 193
- DOS(E_F): 1.413 states/eV/atom
- DFT formation energy: 352 meV/atom
- Raw total energy: -6.39 eV per atom
- Distance to the lowest polymorph of the same formula: 175 meV per atom

Cell and atoms, written as POSCAR:
```
Cu4Ir5
1.0
-1.737 7.065 1.521
-5.079 3.545 -4.108
-3.711 -1.603 3.206
Ir Cu
10 8
Cartesian
-4.900 4.310 -1.442
-2.610 0.773 -0.559
-2.090 4.324 1.819
-5.628 4.697 2.061
-6.181 1.169 -0.343
-3.359 1.138 2.908
-2.272 3.537 -0.862
-6.400 6.272 -0.122
-4.545 7.073 -1.725
-4.128 2.735 0.740
0.000 0.000 0.000
-1.856 -0.801 1.603
-3.775 5.495 0.453
-4.320 1.967 -1.942
-1.505 1.946 1.307
-6.753 3.512 0.165
-4.470 -0.025 1.040
-3.944 3.517 3.420
```

# 19
This record from the Alexandria database describes CaAc4Pr15 after structural relaxation. The functional is PBE-GGA.

Summary:
- Symmetry: P4/mmm, No. 123
- DOS(E_F): 2.000 states/eV/atom
- DFT formation energy: 109 meV/atom
- Raw total energy: -4.40 eV per atom

Cell and atoms, written as POSCAR:
```
CaAc4Pr15
1.0
6.254 0.000 0.000
0.000 6.254 0.000
0.000 0.000 19.449
Ca Ac Pr
1 4 15
Cartesian
0.000 0.000 0.000
0.000 0.000 4.041
0.000 0.000 7.804
0.000 0.000 11.645
0.000 0.000 15.409
3.127 3.127 0.000
3.127 3.127 3.869
3.127 3.127 7.715
3.127 3.127 11.734
3.127 3.127 15.581
3.127 0.000 1.915
3.127 0.000 5.833
3.127 0.000 9.725
3.127 0.000 13.616
3.127 0.000 17.534
0.000 3.127 1.915
0.000 3.127 5.833
0.000 3.127 9.725
0.000 3.127 13.616
0.000 3.127 17.534
```

# 20
This record from the Alexandria database describes BaZr2Br after structural relaxation. The functional is PBE-GGA.

Summary:
- E_form (uncorrected): 0.22 eV/atom
- Symmetry: R-3m, No. 166
- DOS(E_F): 1.699 states/eV/atom
- Raw total energy: -4.96 eV per atom
- Distance to the lowest polymorph of the same formula: 403 meV per atom

Cell and atoms, written as POSCAR:
```
BaZr2Br
1.0
-9.510 1.510 5.044
-8.519 -1.376 6.610
-7.425 1.663 7.763
Br Ba Zr
1 1 2
Cartesian
-19.090 1.348 14.563
-6.363 0.449 4.854
-0.334 0.024 0.255
-12.393 0.875 9.453
```

no.,volume (Å³/cell)
1,63.0
2,137.2
3,149.4
4,128.5
5,380.3
6,91.6
7,116.2
8,138.4
9,73.9
10,133.1
11,335.2
12,429.4
13,132.4
14,108.0
15,70.6
16,104.7
17,699.0
18,246.9
19,760.8
20,108.9